Entry 1:
PBE-GGA Ba2SrSn2O7, optimized geometry; formation energy (no corrections) = -2263 meV per atom
1.0
-2.0867 2.0867 10.8213
2.0867 -2.0867 10.8213
2.0867 2.0867 -10.8213
Ba Sr Sn O
2 1 2 7
Direct
0.1840 0.1840 0.0000
0.8160 0.8160 0.0000
0.0000 0.0000 0.0000
0.4051 0.4051 0.0000
0.5949 0.5949 0.0000
0.0922 0.5922 0.5000
0.3084 0.3084 0.0000
0.4078 0.9078 0.5000
0.5000 0.5000 0.0000
0.5922 0.0922 0.5000
0.6916 0.6916 0.0000
0.9078 0.4078 0.5000

Entry 2:
PBE-GGA CePmPuIn, optimized geometry; formation energy from the elements = -45.1 meV/atom
1.0
0.0000 3.8165 3.8165
3.8165 0.0000 3.8165
3.8165 3.8165 0.0000
Ce Pm Pu In
1 1 1 1
Direct
0.0000 0.0000 0.0000
0.7500 0.7500 0.7500
0.2500 0.2500 0.2500
0.5000 0.5000 0.5000

Entry 3:
PBE-GGA KCaPb3, optimized geometry; formation energy from the elements = 589.9 meV/atom; ΔE to the lowest computed polymorph = 0.3886 eV per atom
1.0
5.9092 0.0000 0.0000
0.0000 5.9092 0.0000
0.0000 0.0000 5.9092
K Ca Pb
1 1 3
Direct
0.0000 0.0000 0.0000
0.5000 0.5000 0.5000
0.0000 0.0000 0.5000
0.0000 0.5000 0.0000
0.5000 0.0000 0.0000

Entry 4:
PBE-GGA Sm12HoSc2, optimized geometry; formation energy from the elements = 110.1 meV/atom
1.0
3.6221 0.0000 0.0000
0.0000 4.8787 0.0000
-1.8067 0.0000 28.0818
Sm Ho Sc
12 1 2
Direct
0.0318 0.0000 0.0647
0.0995 0.0000 0.1959
0.1595 0.0000 0.3187
0.2243 0.0000 0.4477
0.3100 0.5000 0.6193
0.4344 0.5000 0.8697
0.5656 0.5000 0.1303
0.6900 0.5000 0.3807
0.7757 0.0000 0.5523
0.8405 0.0000 0.6813
0.9005 0.0000 0.8041
0.9682 0.0000 0.9353
0.5000 0.5000 0.0000
0.3708 0.5000 0.7427
0.6292 0.5000 0.2573

Entry 5:
PBE-GGA TaCrRe2, optimized geometry; formation energy from the elements = 88.2 meV/atom
1.0
1.5529 -2.2357 0.0000
1.5529 2.2357 0.0000
0.0000 0.0000 8.6697
Ta Cr Re
1 1 2
Direct
0.0000 0.0000 0.0000
0.5000 0.5000 0.2480
0.0000 0.0000 0.4783
0.5000 0.5000 0.7361

Entry 6:
PBE-GGA MgRhCl, optimized geometry; ΔE to the lowest computed polymorph = 0.7074 eV per atom; formation energy (no corrections) = -2 meV per atom
1.0
4.1633 0.0000 0.0000
-2.0817 3.6055 0.0000
0.0000 0.0000 7.1941
Mg Rh Cl
2 2 2
Direct
0.0000 0.0000 0.0000
0.0000 0.0000 0.5000
0.3333 0.6667 0.2500
0.6667 0.3333 0.7500
0.3333 0.6667 0.7500
0.6667 0.3333 0.2500

Entry 7:
PBE-GGA CuMoRh2, optimized geometry; formation energy from the elements = 62.8 meV/atom; ΔE to the lowest computed polymorph = 0.1975 eV per atom
1.0
2.7278 0.0000 0.0000
0.0000 2.7278 0.0000
0.0000 0.0000 7.5876
Cu Mo Rh
1 1 2
Direct
0.0000 0.0000 0.0000
0.5000 0.5000 0.2497
0.0000 0.0000 0.5076
0.5000 0.5000 0.7646

Entry 8:
PBE-GGA Li2ZrMo, optimized geometry; formation energy from the elements = 297.8 meV/atom; ΔE to the lowest computed polymorph = 0.0740 eV per atom
1.0
4.3778 0.0000 0.0000
0.0000 3.1234 0.0000
-0.0213 0.0000 5.2552
Li Zr Mo
2 1 1
Direct
0.0000 0.0000 0.0000
0.5000 0.5000 0.0000
0.0000 0.5000 0.5000
0.5000 0.0000 0.5000